Entry 1:
# PBE Pr4GaTe2As, optimized geometry
data_Pr4GaTe2As
_chemical_formula_sum 'Pr4 Ga1 Te2 As1'
_cell_length_a 7.690
_cell_length_b 4.352
_cell_length_c 7.804
_cell_angle_alpha 90.00
_cell_angle_beta 108.55
_cell_angle_gamma 90.00
_symmetry_space_group_name_H-M 'P 1 2/m 1'
_symmetry_Int_Tables_number 10
loop_
_symmetry_equiv_pos_as_xyz
'x,y,z'
'-x,-y,-z'
'-x,y,-z'
'x,-y,z'
loop_
_atom_site_label
_atom_site_type_symbol
_atom_site_fract_x
_atom_site_fract_y
_atom_site_fract_z
Pr1 Pr 0.241 0.000 0.225
Pr2 Pr 0.255 0.500 0.768
Ga1 Ga 0.500 0.000 0.000
Te1 Te 0.000 0.000 0.500
Te2 Te 0.500 0.500 0.500
As1 As 0.000 0.500 0.000
# **E_tot**: -5.405 eV per atom
# **Volume**: 248 Å³/cell
# **Energy relative to the elements, uncorrected**: -1.27 eV per atom

---

Entry 2:
# PBE GaAs2Pt, optimized geometry
data_GaAs2Pt
_chemical_formula_sum 'Ga3 As6 Pt3'
_cell_length_a 2.8626
_cell_length_b 2.8626
_cell_length_c 31.2583
_cell_angle_alpha 90.00
_cell_angle_beta 90.00
_cell_angle_gamma 120.00
_symmetry_space_group_name_H-M 'R -3 m'
_symmetry_Int_Tables_number 166
_symmetry_space_group_name_Hall '-R 3 2"'
loop_
_atom_site_label
_atom_site_type_symbol
_atom_site_fract_x
_atom_site_fract_y
_atom_site_fract_z
Ga1 Ga 0.0000 0.0000 0.0000
As1 As 0.0000 0.0000 0.4204
Pt1 Pt 0.0000 0.0000 0.5000
# **E_tot**: -4.508 eV per atom
# **Energy of formation**: 83 meV per atom
# **Volume**: 222 Å³/cell

---

Entry 3:
# PBE GaAsPt2, optimized geometry
data_GaAsPt2
_chemical_formula_sum 'Ga4 As4 Pt8'
_cell_length_a 4.143
_cell_length_b 4.143
_cell_length_c 16.404
_cell_angle_alpha 90.00
_cell_angle_beta 90.00
_cell_angle_gamma 90.00
_symmetry_space_group_name_H-M 'I -4 2 d'
_symmetry_Int_Tables_number 122
_symmetry_space_group_name_Hall 'I -4 2bw'
loop_
_atom_site_label
_atom_site_type_symbol
_atom_site_fract_x
_atom_site_fract_y
_atom_site_fract_z
Ga1 Ga 0.000 0.000 0.000
As1 As 0.000 0.000 0.500
Pt1 Pt 0.240 0.250 0.625
# **E_tot**: -5.278 eV per atom
# **Energy of formation**: -339 meV per atom
# **Volume**: 282 Å³/cell

---

Entry 4:
# PBE GaAs2Pt, optimized geometry
data_GaAs2Pt
_chemical_formula_sum 'Ga4 As8 Pt4'
_cell_length_a 5.590
_cell_length_b 5.590
_cell_length_c 11.927
_cell_angle_alpha 90.00
_cell_angle_beta 90.00
_cell_angle_gamma 90.00
_symmetry_space_group_name_H-M 'I -4 2 d'
_symmetry_Int_Tables_number 122
_symmetry_space_group_name_Hall 'I -4 2bw'
loop_
_atom_site_label
_atom_site_type_symbol
_atom_site_fract_x
_atom_site_fract_y
_atom_site_fract_z
Ga1 Ga 0.000 0.000 0.000
As1 As 0.235 0.250 0.625
Pt1 Pt 0.000 0.000 0.500
# **E_tot**: -4.761 eV per atom
# **Energy of formation**: -169 meV per atom
# **Volume**: 373 Å³/cell

---

Entry 5:
# PBE Ga2AsPt, optimized geometry
data_Ga2AsPt
_chemical_formula_sum 'Ga8 As4 Pt4'
_cell_length_a 5.841
_cell_length_b 5.841
_cell_length_c 10.980
_cell_angle_alpha 90.00
_cell_angle_beta 90.00
_cell_angle_gamma 90.00
_symmetry_space_group_name_H-M 'I -4 2 d'
_symmetry_Int_Tables_number 122
_symmetry_space_group_name_Hall 'I -4 2bw'
loop_
_atom_site_label
_atom_site_type_symbol
_atom_site_fract_x
_atom_site_fract_y
_atom_site_fract_z
Ga1 Ga 0.244 0.250 0.125
As1 As 0.000 0.000 0.500
Pt1 Pt 0.000 0.000 0.000
# **E_tot**: -4.343 eV per atom
# **Energy of formation**: -157 meV per atom
# **Volume**: 375 Å³/cell

---

Entry 6:
# PBE GaAsPtSe2, optimized geometry
data_GaAsPtSe2
_chemical_formula_sum 'Ga1 As1 Pt1 Se2'
_cell_length_a 4.842
_cell_length_b 4.842
_cell_length_c 4.832
_cell_angle_alpha 90.00
_cell_angle_beta 90.00
_cell_angle_gamma 90.00
_symmetry_space_group_name_H-M 'P 4/m m m'
_symmetry_Int_Tables_number 123
_symmetry_space_group_name_Hall '-P 4 2'
loop_
_atom_site_label
_atom_site_type_symbol
_atom_site_fract_x
_atom_site_fract_y
_atom_site_fract_z
Ga1 Ga 0.000 0.000 0.000
As1 As 0.000 0.000 0.500
Pt1 Pt 0.500 0.500 0.500
Se1 Se 0.000 0.500 0.000
# **E_tot**: -3.258 eV per atom
# **Volume**: 113 Å³/cell
# **Energy relative to the elements, uncorrected**: 0.88 eV per atom

---

Entry 7:
# PBE GaAsPtSe2, optimized geometry
data_GaAsPtSe2
_chemical_formula_sum 'Ga1 As1 Pt1 Se2'
_cell_length_a 5.288
_cell_length_b 5.288
_cell_length_c 4.639
_cell_angle_alpha 90.00
_cell_angle_beta 90.00
_cell_angle_gamma 90.00
_symmetry_space_group_name_H-M 'P 4/m m m'
_symmetry_Int_Tables_number 123
_symmetry_space_group_name_Hall '-P 4 2'
loop_
_atom_site_label
_atom_site_type_symbol
_atom_site_fract_x
_atom_site_fract_y
_atom_site_fract_z
Ga1 Ga 0.000 0.000 0.000
As1 As 0.500 0.500 0.000
Pt1 Pt 0.500 0.500 0.500
Se1 Se 0.000 0.500 0.500
# **E_tot**: -3.789 eV per atom
# **Volume**: 130 Å³/cell
# **Energy relative to the elements, uncorrected**: 0.35 eV per atom

---

Entry 8:
# PBE Sm2Ga3AsPt4, optimized geometry
data_Sm2Ga3AsPt4
_chemical_formula_sum 'Sm2 Ga3 As1 Pt4'
_cell_length_a 4.315
_cell_length_b 4.315
_cell_length_c 10.344
_cell_angle_alpha 90.00
_cell_angle_beta 90.00
_cell_angle_gamma 90.00
_symmetry_space_group_name_H-M 'P -4 m 2'
_symmetry_Int_Tables_number 115
loop_
_symmetry_equiv_pos_as_xyz
'x,y,z'
'y,-x,-z'
'-x,-y,z'
'-y,x,-z'
'-x,y,z'
'-y,-x,-z'
'x,-y,z'
'y,x,-z'
loop_
_atom_site_label
_atom_site_type_symbol
_atom_site_fract_x
_atom_site_fract_y
_atom_site_fract_z
Sm1 Sm 0.000 0.500 0.249
Ga1 Ga 0.000 0.000 0.000
Ga2 Ga 0.000 0.500 0.630
As1 As 0.500 0.500 0.000
Pt1 Pt 0.000 0.000 0.500
Pt2 Pt 0.000 0.500 0.868
Pt3 Pt 0.500 0.500 0.500
# **E_tot**: -5.664 eV per atom
# **Energy of formation**: -931 meV per atom
# **Volume**: 193 Å³/cell

---

Entry 9:
# PBE Sm2GaAsPt6, optimized geometry
data_Sm2GaAsPt6
_chemical_formula_sum 'Sm6 Ga3 As3 Pt18'
_cell_length_a 5.6256
_cell_length_b 5.6256
_cell_length_c 23.2324
_cell_angle_alpha 90.00
_cell_angle_beta 90.00
_cell_angle_gamma 120.00
_symmetry_space_group_name_H-M 'R -3 m'
_symmetry_Int_Tables_number 166
_symmetry_space_group_name_Hall '-R 3 2"'
loop_
_atom_site_label
_atom_site_type_symbol
_atom_site_fract_x
_atom_site_fract_y
_atom_site_fract_z
Sm1 Sm 0.0000 0.0000 0.2031
Ga1 Ga 0.0000 0.0000 0.5000
As1 As 0.0000 0.0000 0.0000
Pt1 Pt 0.0016 0.5008 0.2508
# **E_tot**: -6.133 eV per atom
# **Energy of formation**: -797 meV per atom
# **Volume**: 637 Å³/cell

---

Entry 10:
# PBE Sr2GaAsPt6, optimized geometry
data_Sr2GaAsPt6
_chemical_formula_sum 'Sr2 Ga1 As1 Pt6'
_cell_length_a 6.705
_cell_length_b 6.720
_cell_length_c 6.746
_cell_angle_alpha 60.27
_cell_angle_beta 60.93
_cell_angle_gamma 60.33
_symmetry_space_group_name_H-M 'P -1'
_symmetry_Int_Tables_number 2
loop_
_symmetry_equiv_pos_as_xyz
'x,y,z'
'-x,-y,-z'
loop_
_atom_site_label
_atom_site_type_symbol
_atom_site_fract_x
_atom_site_fract_y
_atom_site_fract_z
Sr1 Sr 0.136 0.288 0.288
Ga1 Ga 0.000 0.000 0.000
As1 As 0.500 0.500 0.500
Pt1 Pt 0.352 0.748 0.746
Pt2 Pt 0.354 0.152 0.744
Pt3 Pt 0.361 0.746 0.146
# **E_tot**: -5.401 eV per atom
# **Energy of formation**: -673 meV per atom
# **Volume**: 217 Å³/cell

---

Entry 11:
# PBE Sr2Ga3AsPt4, optimized geometry
data_Sr2Ga3AsPt4
_chemical_formula_sum 'Sr2 Ga3 As1 Pt4'
_cell_length_a 4.503
_cell_length_b 4.503
_cell_length_c 10.041
_cell_angle_alpha 90.00
_cell_angle_beta 90.00
_cell_angle_gamma 90.00
_symmetry_space_group_name_H-M 'P -4 m 2'
_symmetry_Int_Tables_number 115
loop_
_symmetry_equiv_pos_as_xyz
'x,y,z'
'y,-x,-z'
'-x,-y,z'
'-y,x,-z'
'-x,y,z'
'-y,-x,-z'
'x,-y,z'
'y,x,-z'
loop_
_atom_site_label
_atom_site_type_symbol
_atom_site_fract_x
_atom_site_fract_y
_atom_site_fract_z
Sr1 Sr 0.000 0.500 0.250
Ga1 Ga 0.000 0.000 0.000
Ga2 Ga 0.000 0.500 0.623
As1 As 0.500 0.500 0.000
Pt1 Pt 0.000 0.000 0.500
Pt2 Pt 0.000 0.500 0.876
Pt3 Pt 0.500 0.500 0.500
# **E_tot**: -4.979 eV per atom
# **Energy of formation**: -853 meV per atom
# **Volume**: 204 Å³/cell

---

Entry 12:
# PBE SrGaAs2Pt, optimized geometry
data_SrGaAs2Pt
_chemical_formula_sum 'Sr1 Ga1 As2 Pt1'
_cell_length_a 4.791
_cell_length_b 4.791
_cell_length_c 5.920
_cell_angle_alpha 90.00
_cell_angle_beta 90.00
_cell_angle_gamma 90.00
_symmetry_space_group_name_H-M 'P 4/m m m'
_symmetry_Int_Tables_number 123
_symmetry_space_group_name_Hall '-P 4 2'
loop_
_atom_site_label
_atom_site_type_symbol
_atom_site_fract_x
_atom_site_fract_y
_atom_site_fract_z
Sr1 Sr 0.000 0.000 0.000
Ga1 Ga 0.000 0.000 0.500
As1 As 0.000 0.500 0.500
Pt1 Pt 0.500 0.500 0.000
# **E_tot**: -3.550 eV per atom
# **Energy of formation**: 460 meV per atom
# **Volume**: 136 Å³/cell

---

For the records above, the corresponding M_tot values read 0.000 0.000 0.000 0.000 0.000 0.000 0.000 0.000 0.000 0.000 0.000 0.000 μB/atom.